(1)
Compound: HfSi3C
Source: Alexandria via LeMat-Bulk
Functional: GGA-PBEsol
Structure: optimized geometry

a b c (Å): 4.9867 4.9867 4.9867
angles (deg): 90.00 90.00 90.00
Each line ends with the local moment (μB).
Atoms (fractional coordinates):
1 Si 0.0000 0.5000 0.0000  0.00
2 Si 0.0000 0.0000 0.5000  0.00
3 Si 0.5000 0.0000 0.0000  0.00
4 Hf 0.0000 0.0000 0.0000  -0.04
5 C 0.5000 0.5000 0.5000  0.79

Output
- Calculated volume: 124 Å³ per cell
- E: -26.27 eV for the cell shown
- Formation energy without anion corrections: 2223 meV/atom

(2)
Compound: Hf2SnC
Source: Alexandria via LeMat-Bulk
Functional: GGA-PBEsol
Structure: optimized geometry

a b c (Å): 3.3049 3.3049 14.3287
angles (deg): 90.00 90.00 120.00
Atoms (fractional coordinates):
1 Hf 0.3333 0.6667 0.4152
2 Hf 0.6667 0.3333 0.9152
3 Hf 0.6667 0.3333 0.5848
4 Hf 0.3333 0.6667 0.0848
5 Sn 0.3333 0.6667 0.7500
6 Sn 0.6667 0.3333 0.2500
7 C 0.0000 0.0000 0.5000
8 C 0.0000 0.0000 0.0000

Output
- Calculated volume: 136 Å³ per cell
- E: -76.66 eV for the cell shown
- DFT formation energy: -330 kJ/mol of formula units

(3)
Compound: Sr3HfC
Source: Alexandria via LeMat-Bulk
Functional: GGA-PBEsol
Structure: optimized geometry

a b c (Å): 5.3729 5.3729 5.3729
angles (deg): 90.00 90.00 90.00
Each line ends with the local moment (μB).
Atoms (fractional coordinates):
1 Sr 0.0000 0.5000 0.0000  0.03
2 Sr 0.0000 0.0000 0.5000  0.03
3 Sr 0.5000 0.0000 0.0000  0.03
4 C 0.0000 0.0000 0.0000  -0.26
5 Hf 0.5000 0.5000 0.5000  0.89

Output
- Calculated volume: 155 Å³ per cell
- E: -20.89 eV for the cell shown
- DFT formation energy: 461 kJ/mol of formula units

(4)
Compound: SrHfC2
Source: Alexandria via LeMat-Bulk
Functional: GGA-PBEsol
Structure: optimized geometry

a b c (Å): 5.4300 5.4300 6.7058
angles (deg): 113.88 113.88 90.00
Atoms (fractional coordinates):
1 Sr 0.7500 0.2500 0.5000
2 Sr 0.5000 0.5000 0.0000
3 C 0.2900 0.8750 0.2500
4 C 0.9600 0.3750 0.2500
5 C 0.1250 0.0400 0.7500
6 C 0.6250 0.7100 0.7500
7 Hf 0.2500 0.7500 0.5000
8 Hf 0.0000 0.0000 0.0000

Output
- Calculated volume: 162 Å³ per cell
- E: -58.53 eV for the cell shown
- DFT formation energy: 228 kJ/mol of formula units

(5)
Compound: HfTaC2
Source: Alexandria via LeMat-Bulk
Functional: GGA-PBEsol
Structure: optimized geometry

a b c (Å): 5.5493 5.5493 5.5493
angles (deg): 33.38 33.38 33.38
Atoms (fractional coordinates):
1 C 0.2471 0.2471 0.2471
2 C 0.7529 0.7529 0.7529
3 Hf 0.0000 0.0000 0.0000
4 Ta 0.5000 0.5000 0.5000

Output
- Calculated volume: 46 Å³ per cell
- E: -45.90 eV for the cell shown
- DFT formation energy: -344 kJ/mol of formula units

(6)
Compound: Hf2TiC
Source: Alexandria via LeMat-Bulk
Functional: GGA-PBEsol
Structure: optimized geometry

a b c (Å): 4.1579 6.0939 6.0939
angles (deg): 83.32 70.05 70.05
Atoms (fractional coordinates):
1 C 0.5000 0.0000 0.0000
2 C 0.2500 0.5000 0.5000
3 Hf 0.8750 0.8608 0.6392
4 Hf 0.3750 0.1392 0.3608
5 Hf 0.4858 0.6392 0.1392
6 Hf 0.2642 0.3608 0.8608
7 Ti 0.0000 0.0000 0.0000
8 Ti 0.7500 0.5000 0.5000

Output
- Calculated volume: 136 Å³ per cell
- E: -78.21 eV for the cell shown
- DFT formation energy: -13 kJ/mol of formula units

(7)
Compound: Hf2TlC
Source: Alexandria via LeMat-Bulk
Functional: GGA-PBEsol
Structure: optimized geometry

a b c (Å): 3.3054 3.3054 14.6665
angles (deg): 90.00 90.00 120.00
Atoms (fractional coordinates):
1 Tl 0.3333 0.6667 0.7500
2 Tl 0.6667 0.3333 0.2500
3 Hf 0.3333 0.6667 0.0819
4 Hf 0.6667 0.3333 0.5819
5 Hf 0.6667 0.3333 0.9181
6 Hf 0.3333 0.6667 0.4181
7 C 0.0000 0.0000 0.0000
8 C 0.0000 0.0000 0.5000

Output
- Calculated volume: 139 Å³ per cell
- E: -72.31 eV for the cell shown
- DFT formation energy: -277 kJ/mol of formula units

(8)
Compound: Hf2Tl2C
Source: Alexandria via LeMat-Bulk
Functional: GGA-PBEsol
Structure: optimized geometry

a b c (Å): 3.7134 3.7134 8.0463
angles (deg): 103.34 103.34 90.00
Atoms (fractional coordinates):
1 Tl 0.2500 0.7500 0.5000
2 Tl 0.7500 0.2500 0.5000
3 Hf 0.4141 0.4141 0.8281
4 Hf 0.5859 0.5859 0.1719
5 C 0.0000 0.0000 0.0000

Output
- Calculated volume: 105 Å³ per cell
- E: -29.09 eV for the cell shown
- DFT formation energy: 658 kJ/mol of formula units

(9)
Compound: HfZnC2
Source: Alexandria via LeMat-Bulk
Functional: GGA-PBEsol
Structure: optimized geometry

a b c (Å): 4.3449 4.3449 6.4756
angles (deg): 109.60 109.60 90.00
Atoms (fractional coordinates):
1 Zn 0.7500 0.2500 0.5000
2 Zn 0.5000 0.5000 0.0000
3 Hf 0.2500 0.7500 0.5000
4 Hf 0.0000 0.0000 0.0000
5 C 0.4024 0.8750 0.2500
6 C 0.8476 0.3750 0.2500
7 C 0.1250 0.1524 0.7500
8 C 0.6250 0.5976 0.7500

Output
- Calculated volume: 108 Å³ per cell
- E: -56.39 eV for the cell shown
- DFT formation energy: 307 kJ/mol of formula units

(10)
Compound: Hf2ZnC2
Source: Alexandria via LeMat-Bulk
Functional: GGA-PBEsol
Structure: optimized geometry

a b c (Å): 4.1604 4.1604 5.4078
angles (deg): 112.62 112.62 90.00
Atoms (fractional coordinates):
1 Zn 0.0000 0.0000 0.0000
2 Hf 0.3161 0.3161 0.6322
3 Hf 0.6839 0.6839 0.3678
4 C 0.2500 0.7500 0.5000
5 C 0.7500 0.2500 0.5000

Output
- Calculated volume: 79 Å³ per cell
- E: -41.37 eV for the cell shown
- DFT formation energy: 49 kJ/mol of formula units

(11)
Compound: Hf2ZnC
Source: Alexandria via LeMat-Bulk
Functional: GGA-PBEsol
Structure: optimized geometry

a b c (Å): 4.3705 4.3705 4.3705
angles (deg): 60.00 60.00 60.00
Atoms (fractional coordinates):
1 Zn 0.5000 0.5000 0.5000
2 Hf 0.2500 0.2500 0.2500
3 Hf 0.7500 0.7500 0.7500
4 C 0.0000 0.0000 0.0000

Output
- Calculated volume: 59 Å³ per cell
- E: -30.18 eV for the cell shown
- DFT formation energy: 198 kJ/mol of formula units

(12)
Compound: HfZrC3
Source: Alexandria via LeMat-Bulk
Functional: GGA-PBEsol
Structure: optimized geometry

a b c (Å): 4.1030 4.1030 4.1030
angles (deg): 90.00 90.00 90.00
Atoms (fractional coordinates):
1 C 0.0000 0.5000 0.0000
2 C 0.0000 0.0000 0.5000
3 C 0.5000 0.0000 0.0000
4 Hf 0.0000 0.0000 0.0000
5 Zr 0.5000 0.5000 0.5000

Output
- Calculated volume: 69 Å³ per cell
- E: -42.08 eV for the cell shown
- DFT formation energy: 622 kJ/mol of formula units